(1)
Th2ZnNi: relaxed, PBE.

Summary:
SG = Fm-3m, No. 225
energy of formation = -0.623 eV per formula unit
excess energy over the best structure of this formula in the dataset = 11.9 kJ per mole of atoms
raw total energy = -5.63 eV per atom
density of states at the Fermi level = 1.32 states/eV/atom

abc: 5.070 5.070 5.070
angles: 60.00 60.00 60.00
Fractional positions:
Th 0.250 0.250 0.250
Th 0.750 0.750 0.750
Ni 0.500 0.500 0.500
Zn 0.000 0.000 0.000

(2)
Cs2UGaS4: relaxed, PBE.

Summary:
SG = Fddd, No. 70
raw total energy = -5.10 eV per atom
density of states at the Fermi level = 0.88 states/eV/atom
E_form (uncorrected) = -8.3 eV/f.u.

abc: 6.286 8.013 13.447
angles: 84.74 76.48 66.91
Fractional positions:
Cs 0.572 0.500 0.856
Cs 0.928 0.500 0.144
Cs 0.178 0.000 0.644
Cs 0.822 0.000 0.356
S 0.328 0.810 0.100
S 0.512 0.310 0.600
S 0.889 0.690 0.600
S 0.572 0.190 0.100
S 0.238 0.190 0.900
S 0.178 0.310 0.400
S 0.422 0.690 0.400
S 0.861 0.810 0.900
Ga 0.500 0.000 0.000
Ga 0.250 0.500 0.500
U 0.000 0.000 0.000
U 0.750 0.500 0.500

(3)
Li2RuPb2O6: relaxed, PBE.

Summary:
SG = C2/m, No. 12
raw total energy = -5.79 eV per atom
density of states at the Fermi level = 0.22 states/eV/atom
E_form (uncorrected) = -13.5 eV/f.u.

abc: 5.503 5.503 6.298
angles: 109.72 109.72 103.15
Fractional positions:
Pb 0.812 0.188 0.000
Pb 0.188 0.812 0.000
O 0.773 0.773 0.608
O 0.670 0.005 0.250
O 0.330 0.995 0.750
O 0.227 0.227 0.392
O 0.995 0.330 0.750
O 0.005 0.670 0.250
Li 0.347 0.653 0.500
Li 0.653 0.347 0.500
Ru 0.000 0.000 0.500

Q: Among the records above, which one has the lowest density of states at the Fermi level?
A: Li2RuPb2O6